YEr2WO8 | PBE+U | optimized geometry

Total moment = 0.8 μB per cell
Raw total energy = -8.070 eV per atom

a = 5.025 Å, b = 5.024 Å, c = 6.796 Å
α = 90.00°, β = 90.00°, γ = 90.70°
Each line ends with the local moment (μB).
Sites, in units of the cell vectors:
1 O 0.690 0.691 0.500  0.10
2 Er 0.500 0.500 0.751  -0.01
3 O 0.185 0.815 0.212  0.07
4 O 0.722 0.723 0.000  0.12
5 O 0.185 0.815 0.788  0.07
6 O 0.815 0.185 0.212  0.07
7 W 0.000 0.000 0.000  -0.05
8 O 0.310 0.309 0.500  0.10
9 Er 0.500 0.500 0.249  -0.01
10 O 0.815 0.185 0.788  0.07
11 O 0.278 0.277 0.000  0.12
12 Y 0.000 0.000 0.500  0.01